a:
AcCuAg | Alexandria | GGA-PBE | optimized geometry; Fermi-level density of states = 0.684 states/eV/atom; volume = 304 Å³/cell
1.0
4.5785 0.0000 0.0000
0.0000 8.1176 0.0000
0.0000 0.0000 8.1726
Ac Cu Ag
4 4 4
Direct
0.0000 0.0000 0.2476
0.0000 0.0000 0.7524
0.5000 0.5000 0.2524
0.5000 0.5000 0.7476
0.0000 0.3460 0.5000
0.0000 0.6540 0.5000
0.5000 0.1540 0.0000
0.5000 0.8460 0.0000
0.0000 0.3254 0.0000
0.0000 0.6746 0.0000
0.5000 0.1746 0.5000
0.5000 0.8254 0.5000

b:
AcCuAg | Alexandria | GGA-PBE | optimized geometry; Fermi-level density of states = 0.746 states/eV/atom; volume = 330 Å³/cell
1.0
6.9133 0.0000 0.0000
0.0000 6.9133 0.0000
0.0000 0.0000 6.9133
Ac Cu Ag
4 4 4
Direct
0.0000 0.0000 0.0000
0.0000 0.5000 0.5000
0.5000 0.0000 0.5000
0.5000 0.5000 0.0000
0.2500 0.2500 0.2500
0.2500 0.7500 0.7500
0.7500 0.2500 0.7500
0.7500 0.7500 0.2500
0.0000 0.0000 0.5000
0.0000 0.5000 0.0000
0.5000 0.0000 0.0000
0.5000 0.5000 0.5000

Computed stability ranking, most favorable first: a, b

a:
Ac2Cu2Ag3 | Alexandria | GGA-PBE | optimized geometry; Fermi-level density of states = 0.427 states/eV/atom; volume = 339 Å³/cell
1.0
4.1392 0.0000 0.0000
0.0000 20.2419 0.0000
0.0000 0.0000 4.0477
Ac Cu Ag
4 4 6
Direct
0.0000 0.1565 0.0000
0.0000 0.8435 0.0000
0.5000 0.3435 0.0000
0.5000 0.6565 0.0000
0.0000 0.2858 0.5000
0.0000 0.7142 0.5000
0.5000 0.2142 0.5000
0.5000 0.7858 0.5000
0.0000 0.0000 0.0000
0.0000 0.4315 0.5000
0.0000 0.5685 0.5000
0.5000 0.0685 0.5000
0.5000 0.5000 0.0000
0.5000 0.9315 0.5000

b:
Ac2Cu2Ag3 | Alexandria | GGA-PBE | optimized geometry; Fermi-level density of states = 0.572 states/eV/atom; volume = 330 Å³/cell
1.0
10.8114 0.0000 0.0000
0.0000 4.2793 0.0000
-1.0105 0.0000 7.1334
Ac Cu Ag
4 4 6
Direct
0.1273 0.0000 0.3214
0.3727 0.5000 0.6786
0.6273 0.5000 0.3214
0.8727 0.0000 0.6786
0.0811 0.5000 0.6497
0.4189 0.0000 0.3503
0.5811 0.0000 0.6497
0.9189 0.5000 0.3503
0.0000 0.5000 0.0000
0.1798 0.0000 0.8632
0.3202 0.5000 0.1368
0.5000 0.0000 0.0000
0.6798 0.5000 0.8632
0.8202 0.0000 0.1368

Computed stability ranking, most favorable first: b, a

a:
AcLaCuAg | Alexandria | GGA-PBE | optimized geometry; Fermi-level density of states = 0.933 states/eV/atom; volume = 230 Å³/cell
1.0
4.7877 0.0000 0.0000
0.0000 4.1853 0.0000
0.0000 0.0000 11.4571
Ac La Cu Ag
2 2 2 2
Direct
0.0000 0.0000 0.0000
0.0000 0.5000 0.5000
0.5000 0.0000 0.2832
0.5000 0.5000 0.7832
0.5000 0.0000 0.5764
0.5000 0.5000 0.0764
0.0000 0.0000 0.7134
0.0000 0.5000 0.2134

b:
AcLaCuAg | Alexandria | GGA-PBE | optimized geometry; Fermi-level density of states = 0.705 states/eV/atom; volume = 447 Å³/cell
1.0
7.6472 0.0000 0.0000
0.0000 7.6472 0.0000
0.0000 0.0000 7.6472
Ac La Cu Ag
4 4 4 4
Direct
0.0000 0.0000 0.0000
0.0000 0.5000 0.5000
0.5000 0.0000 0.5000
0.5000 0.5000 0.0000
0.0000 0.0000 0.5000
0.0000 0.5000 0.0000
0.5000 0.0000 0.0000
0.5000 0.5000 0.5000
0.2500 0.2500 0.2500
0.2500 0.7500 0.7500
0.7500 0.2500 0.7500
0.7500 0.7500 0.2500
0.2500 0.2500 0.7500
0.2500 0.7500 0.2500
0.7500 0.2500 0.2500
0.7500 0.7500 0.7500

Computed stability ranking, most favorable first: a, b

a:
AcPmCuAg | Alexandria | GGA-PBE | optimized geometry; Fermi-level density of states = 0.728 states/eV/atom; volume = 433 Å³/cell
1.0
7.5654 0.0000 0.0000
0.0000 7.5654 0.0000
0.0000 0.0000 7.5654
Ac Pm Cu Ag
4 4 4 4
Direct
0.0000 0.0000 0.0000
0.0000 0.5000 0.5000
0.5000 0.0000 0.5000
0.5000 0.5000 0.0000
0.0000 0.0000 0.5000
0.0000 0.5000 0.0000
0.5000 0.0000 0.0000
0.5000 0.5000 0.5000
0.2500 0.2500 0.2500
0.2500 0.7500 0.7500
0.7500 0.2500 0.7500
0.7500 0.7500 0.2500
0.2500 0.2500 0.7500
0.2500 0.7500 0.2500
0.7500 0.2500 0.2500
0.7500 0.7500 0.7500

b:
AcPmCuAg | Alexandria | GGA-PBE | optimized geometry; Fermi-level density of states = 0.677 states/eV/atom; volume = 107 Å³/cell
1.0
3.7672 0.0000 0.0000
0.0000 3.7672 0.0000
0.0000 0.0000 7.5161
Ac Pm Cu Ag
1 1 1 1
Direct
0.0000 0.0000 0.0000
0.0000 0.0000 0.5245
0.5000 0.5000 0.7315
0.5000 0.5000 0.2895

Computed stability ranking, most favorable first: b, a

a:
AcPrCuAg | Alexandria | GGA-PBE | optimized geometry; Fermi-level density of states = 0.875 states/eV/atom; volume = 226 Å³/cell
1.0
4.8020 0.0000 0.0000
0.0000 4.1848 0.0000
0.0000 0.0000 11.2243
Ac Pr Cu Ag
2 2 2 2
Direct
0.0000 0.0000 0.0000
0.0000 0.5000 0.5000
0.5000 0.0000 0.2870
0.5000 0.5000 0.7870
0.0000 0.0000 0.7174
0.0000 0.5000 0.2174
0.5000 0.0000 0.5809
0.5000 0.5000 0.0809

b:
AcPrCuAg | Alexandria | GGA-PBE | optimized geometry; Fermi-level density of states = 0.708 states/eV/atom; volume = 441 Å³/cell
1.0
7.6124 0.0000 0.0000
0.0000 7.6124 0.0000
0.0000 0.0000 7.6124
Ac Pr Cu Ag
4 4 4 4
Direct
0.0000 0.0000 0.0000
0.0000 0.5000 0.5000
0.5000 0.0000 0.5000
0.5000 0.5000 0.0000
0.0000 0.0000 0.5000
0.0000 0.5000 0.0000
0.5000 0.0000 0.0000
0.5000 0.5000 0.5000
0.2500 0.2500 0.7500
0.2500 0.7500 0.2500
0.7500 0.2500 0.2500
0.7500 0.7500 0.7500
0.2500 0.2500 0.2500
0.2500 0.7500 0.7500
0.7500 0.2500 0.7500
0.7500 0.7500 0.2500

Computed stability ranking, most favorable first: a, b

a:
SrAcCuAg | Alexandria | GGA-PBE | optimized geometry; Fermi-level density of states = 0.727 states/eV/atom; volume = 243 Å³/cell
1.0
4.6548 0.0000 0.0000
0.0000 4.3279 0.0000
0.0000 0.0000 12.0677
Sr Ac Cu Ag
2 2 2 2
Direct
0.0000 0.0000 0.0000
0.0000 0.5000 0.5000
0.5000 0.0000 0.7221
0.5000 0.5000 0.2221
0.0000 0.0000 0.2882
0.0000 0.5000 0.7882
0.5000 0.0000 0.4273
0.5000 0.5000 0.9273

b:
SrAcCuAg | Alexandria | GGA-PBE | optimized geometry; Fermi-level density of states = 0.767 states/eV/atom; volume = 463 Å³/cell
1.0
7.7379 0.0000 0.0000
0.0000 7.7379 0.0000
0.0000 0.0000 7.7379
Sr Ac Cu Ag
4 4 4 4
Direct
0.0000 0.0000 0.0000
0.0000 0.5000 0.5000
0.5000 0.0000 0.5000
0.5000 0.5000 0.0000
0.0000 0.0000 0.5000
0.0000 0.5000 0.0000
0.5000 0.0000 0.0000
0.5000 0.5000 0.5000
0.2500 0.2500 0.2500
0.2500 0.7500 0.7500
0.7500 0.2500 0.7500
0.7500 0.7500 0.2500
0.2500 0.2500 0.7500
0.2500 0.7500 0.2500
0.7500 0.2500 0.2500
0.7500 0.7500 0.7500

Computed stability ranking, most favorable first: a, b

a:
AcZnCuAg | Alexandria | GGA-PBE | optimized geometry; Fermi-level density of states = 0.875 states/eV/atom; volume = 359 Å³/cell
1.0
7.1096 0.0000 0.0000
0.0000 7.1096 0.0000
0.0000 0.0000 7.1096
Ac Zn Cu Ag
4 4 4 4
Direct
0.0000 0.0000 0.0000
0.0000 0.5000 0.5000
0.5000 0.0000 0.5000
0.5000 0.5000 0.0000
0.2500 0.2500 0.7500
0.2500 0.7500 0.2500
0.7500 0.2500 0.2500
0.7500 0.7500 0.7500
0.2500 0.2500 0.2500
0.2500 0.7500 0.7500
0.7500 0.2500 0.7500
0.7500 0.7500 0.2500
0.0000 0.0000 0.5000
0.0000 0.5000 0.0000
0.5000 0.0000 0.0000
0.5000 0.5000 0.5000

b:
AcZnCuAg | Alexandria | GGA-PBE | optimized geometry; Fermi-level density of states = 0.540 states/eV/atom; volume = 184 Å³/cell
1.0
7.7882 0.0000 0.0000
0.0000 4.4888 0.0000
-2.5879 0.0000 5.2760
Ac Zn Cu Ag
2 2 2 2
Direct
0.0000 0.0000 0.0000
0.5000 0.5000 0.0000
0.0203 0.5000 0.5609
0.5203 0.0000 0.5609
0.2022 0.0000 0.6077
0.7022 0.5000 0.6077
0.2984 0.5000 0.3949
0.7984 0.0000 0.3949

Computed stability ranking, most favorable first: b, a

a:
AcDyAg4 | Alexandria | GGA-PBE | optimized geometry; Fermi-level density of states = 0.612 states/eV/atom; volume = 298 Å³/cell
1.0
4.8201 0.0000 0.0000
0.0000 8.3450 0.0000
-0.0120 0.0000 7.4200
Ac Dy Ag
2 2 8
Direct
0.0000 0.0000 0.0000
0.5000 0.5000 0.0000
0.0000 0.0000 0.5000
0.5000 0.5000 0.5000
0.0003 0.3334 0.2877
0.9997 0.3334 0.7123
0.0003 0.6666 0.2877
0.9997 0.6666 0.7123
0.5003 0.1666 0.2877
0.4997 0.1666 0.7123
0.5003 0.8334 0.2877
0.4997 0.8334 0.7123

b:
AcDyAg4 | Alexandria | GGA-PBE | optimized geometry; Fermi-level density of states = 0.856 states/eV/atom; volume = 142 Å³/cell
1.0
0.0000 4.1403 4.1403
4.1403 0.0000 4.1403
4.1403 4.1403 0.0000
Ac Dy Ag
1 1 4
Direct
0.0000 0.0000 0.0000
0.7500 0.7500 0.7500
0.3759 0.3759 0.3759
0.3759 0.3759 0.8722
0.3759 0.8722 0.3759
0.8722 0.3759 0.3759

Computed stability ranking, most favorable first: a, b